[1]
Density functional theory data (GGA-PBE) for an optimized crystal structure of KBaSI.

a b c (Å): 8.826 8.826 8.826
angles (deg): 30.58 30.58 30.58
Fractional positions:
K  0.000  0.000  0.000
Ba  0.198  0.198  0.198
S  0.591  0.591  0.591
I  0.431  0.431  0.431

Properties
**Uncorrected energy**: -3.837 eV/atom
**ΔE_f (raw)**: -1.66 eV/atom
**V**: 158 Å³ per cell

***

[2]
Density functional theory data (GGA-PBE) for an optimized crystal structure of KBaSbI2.

a b c (Å): 6.773 6.773 6.922
angles (deg): 90.00 90.00 90.00
Fractional positions:
K  0.000  0.000  0.000
Ba  0.500  0.500  0.500
Sb  0.500  0.500  0.000
I  0.000  0.500  0.500
I  0.500  0.000  0.500

Properties
**E above lowest polymorph**: 0 meV per atom
**Uncorrected energy**: -2.838 eV/atom
**ΔE_f (raw)**: -0.79 eV/atom
**V**: 317 Å³ per cell

***

[3]
Density functional theory data (GGA-PBE) for an optimized crystal structure of KBaSb2I.

a b c (Å): 6.580 6.580 6.752
angles (deg): 90.00 90.00 90.00
Fractional positions:
K  0.000  0.000  0.000
Ba  0.500  0.500  0.500
Sb  0.000  0.500  0.500
Sb  0.500  0.000  0.500
I  0.500  0.500  0.000

Properties
**E above lowest polymorph**: 0 meV per atom
**Uncorrected energy**: -2.704 eV/atom
**ΔE_f (raw)**: -0.14 eV/atom
**V**: 292 Å³ per cell

***

[4]
Density functional theory data (GGA-PBE) for an optimized crystal structure of KBaSb2I.

a b c (Å): 5.930 5.930 6.286
angles (deg): 90.00 90.00 90.00
Fractional positions:
K  0.000  0.000  0.000
Ba  0.500  0.500  0.500
Sb  0.000  0.500  0.000
Sb  0.500  0.000  0.000
I  0.000  0.000  0.500

Properties
**E above lowest polymorph**: 133 meV per atom
**Uncorrected energy**: -2.570 eV/atom
**ΔE_f (raw)**: -0.01 eV/atom
**V**: 221 Å³ per cell

***

[5]
Density functional theory data (GGA-PBE) for an optimized crystal structure of KBaSbI2.

a b c (Å): 6.235 6.235 6.408
angles (deg): 90.00 90.00 90.00
Fractional positions:
K  0.000  0.000  0.000
Ba  0.500  0.500  0.500
Sb  0.000  0.000  0.500
I  0.000  0.500  0.000
I  0.500  0.000  0.000

Properties
**E above lowest polymorph**: 253 meV per atom
**Uncorrected energy**: -2.585 eV/atom
**ΔE_f (raw)**: -0.54 eV/atom
**V**: 249 Å³ per cell

***

[6]
Density functional theory data (GGA-PBE) for an optimized crystal structure of KBaSeI.

a b c (Å): 8.966 8.966 8.966
angles (deg): 30.81 30.81 30.81
Fractional positions:
K  0.000  0.000  0.000
Ba  0.193  0.193  0.193
Se  0.590  0.590  0.590
I  0.429  0.429  0.429

Properties
**Uncorrected energy**: -3.664 eV/atom
**ΔE_f (raw)**: -1.65 eV/atom
**V**: 168 Å³ per cell

***

[7]
Density functional theory data (GGA-PBE) for an optimized crystal structure of KBaSmI6.

a b c (Å): 8.531 8.531 15.058
angles (deg): 90.00 90.00 120.00
Fractional positions:
K  0.000  0.000  0.000
K  0.000  0.000  0.500
Ba  0.333  0.667  0.250
Ba  0.667  0.333  0.750
Sm  0.333  0.667  0.750
Sm  0.667  0.333  0.250
I  0.033  0.375  0.630
I  0.033  0.658  0.870
I  0.342  0.375  0.870
I  0.342  0.967  0.630
I  0.375  0.033  0.130
I  0.375  0.342  0.370
I  0.625  0.658  0.630
I  0.625  0.967  0.870
I  0.658  0.033  0.370
I  0.658  0.625  0.130
I  0.967  0.342  0.130
I  0.967  0.625  0.370

Properties
**Uncorrected energy**: -3.439 eV/atom
**ΔE_f (raw)**: -1.55 eV/atom
**V**: 949 Å³ per cell

***

[8]
Density functional theory data (GGA-PBE) for an optimized crystal structure of KBaTmI6.

a b c (Å): 8.457 8.457 14.915
angles (deg): 90.00 90.00 120.00
Fractional positions:
K  0.000  0.000  0.000
K  0.000  0.000  0.500
Ba  0.333  0.667  0.250
Ba  0.667  0.333  0.750
Tm  0.333  0.667  0.750
Tm  0.667  0.333  0.250
I  0.041  0.380  0.632
I  0.041  0.661  0.868
I  0.339  0.380  0.868
I  0.339  0.959  0.632
I  0.380  0.041  0.132
I  0.380  0.339  0.368
I  0.620  0.661  0.632
I  0.620  0.959  0.868
I  0.661  0.041  0.368
I  0.661  0.620  0.132
I  0.959  0.339  0.132
I  0.959  0.620  0.368

Properties
**Uncorrected energy**: -3.393 eV/atom
**ΔE_f (raw)**: -1.53 eV/atom
**V**: 924 Å³ per cell